No. 1
Entry from the Alexandria database: crystalline NaAcAsO at its relaxed geometry (PBE).

a = 7.6938 Å, b = 7.6938 Å, c = 7.6938 Å
α = 153.84°, β = 153.84°, γ = 37.34°
Last column: nearest neighbours and their distance in Å.
Fractional coordinates of all 4 atoms:
Na 0.0000 0.0000 0.0000  1 O 2.32
Ac 0.7200 0.7200 0.0000  4 O 2.62
As 0.3846 0.3846 0.0000  4 Na 2.98, 1 O 3.28
O 0.1594 0.1594 0.0000  1 Na 2.32

Computed properties:
Symmetry: I4mm (107)
Magnetic moment, μB per cell: 0.0
Formation energy (no corrections), kcal/mol of atoms: -34.7

No. 2
Entry from the Alexandria database: crystalline La2CdRh at its relaxed geometry (PBE).

a = 7.7839 Å, b = 7.7839 Å, c = 7.5375 Å
α = 90.00°, β = 90.00°, γ = 149.89°
Last column: nearest neighbours and their distance in Å.
Fractional coordinates of all 8 atoms:
La 0.1413 0.8587 0.5014  3 Rh 2.89-3.05
La 0.1413 0.8587 0.9986  3 Rh 2.89-3.05
La 0.8587 0.1413 0.0014  3 Rh 2.89-3.05
La 0.8587 0.1413 0.4986  3 Rh 2.89-3.05
Cd 0.4951 0.5049 0.2500  1 Rh 2.93
Cd 0.5049 0.4951 0.7500  1 Rh 2.93
Rh 0.3004 0.6996 0.2500  6 La 2.89-3.05, 1 Cd 2.93
Rh 0.6996 0.3004 0.7500  6 La 2.89-3.05, 1 Cd 2.93

Computed properties:
Symmetry: Cmcm (63)
Magnetic moment, μB per cell: 0.0
E_form, eV per atom: -0.56

Q: Look up the magnetic moment of the second one.
A: 0.0 μB per cell